a.
First-principles (GGA+U) data for a relaxed structure of MoCI2O, as listed in the Alexandria database. Values from VASP.

Summary:
- space group = P4/mmm (123)

```
&SYSTEM
  ibrav = 0, nat = 5, ntyp = 4
/
ATOMIC_SPECIES
Mo 95.94 Mo.upf
C 12.01 C.upf
I 126.90 I.upf
O 16.00 O.upf
CELL_PARAMETERS angstrom
5.768 0.000 0.000
0.000 5.768 0.000
0.000 0.000 3.872
ATOMIC_POSITIONS crystal
Mo 0.000 0.000 0.000
C 0.500 0.500 0.500
I 0.000 0.500 0.000
I 0.500 0.000 0.000
O 0.000 0.000 0.500
```

---

b.
First-principles (GGA+U) data for a relaxed structure of MoCI2O, as listed in the Alexandria database. Values from VASP.

Summary:
- space group = P4/mmm (123)

```
&SYSTEM
  ibrav = 0, nat = 5, ntyp = 4
/
ATOMIC_SPECIES
Mo 95.94 Mo.upf
C 12.01 C.upf
I 126.90 I.upf
O 16.00 O.upf
CELL_PARAMETERS angstrom
5.822 0.000 0.000
0.000 5.822 0.000
0.000 0.000 3.238
ATOMIC_POSITIONS crystal
Mo 0.000 0.000 0.000
C 0.500 0.500 0.500
I 0.000 0.500 0.500
I 0.500 0.000 0.500
O 0.500 0.500 0.000
```

---

Most stable of them? a.